Here is a relaxed SrLaB crystal from Alexandria via LeMat-Bulk. Energies are from PBE.

Lattice parameters (Å, degrees): 10.638 5.725 3.362 90.00 61.69 90.00
Each line ends with the local moment (μB).
Element x y z (fractional)
La: 0.698 0.274 0.913  0.10
La: 0.225 0.274 0.621  0.11
Sr: 0.462 0.774 0.766  0.10
Sr: 0.961 0.774 0.019  0.01
B: 0.936 0.274 0.056  0.01
B: 0.983 0.274 0.485  0.01

Summary:
The calculation puts the formation energy at 0.09 eV per atom. Its energy above the most stable polymorph in this dataset is 65.1 meV per atom. For the density, the calculation gives 4.4 g/cm3. For the density of states at the Fermi level, the calculation gives 6.333 states/eV/cell.